# 1
# NaLu | OQMD via LeMat-Bulk | PBE | relaxed
# Space group: Fm-3m, No. 225
# Energy relative to the lowest polymorph listed for this composition: 1.13 eV/f.u.
# Calculated total energy: -2.04 eV per atom
# Magnetic moment: 0.01 μB per formula unit
data_NaLu
_chemical_formula_sum 'Na1 Lu1'
_space_group_name_H-M_alt 'P 1'
_space_group_IT_number 1
_cell_length_a 4.4630
_cell_length_b 4.4630
_cell_length_c 4.4630
_cell_angle_alpha 60.00
_cell_angle_beta 60.00
_cell_angle_gamma 60.00
loop_
_space_group_symop_operation_xyz
'x,y,z'
loop_
_atom_site_label
_atom_site_type_symbol
_atom_site_fract_x
_atom_site_fract_y
_atom_site_fract_z
Na1 Na 0.0000 0.0000 0.0000
Lu1 Lu 0.5000 0.5000 0.5000

---

# 2
# HfAgHgAu | OQMD via LeMat-Bulk | PBE | relaxed
# Space group: F-43m, No. 216
# Energy relative to the lowest polymorph listed for this composition: 0.13 eV/f.u.
# Calculated total energy: -4.22 eV per atom
# Magnetic moment: 0.00 μB per formula unit
# Energy of formation: -132 meV per atom
data_HfAgHgAu
_chemical_formula_sum 'Hf1 Ag1 Hg1 Au1'
_space_group_name_H-M_alt 'P 1'
_space_group_IT_number 1
_cell_length_a 4.7675
_cell_length_b 4.7675
_cell_length_c 4.7675
_cell_angle_alpha 60.00
_cell_angle_beta 60.00
_cell_angle_gamma 60.00
loop_
_space_group_symop_operation_xyz
'x,y,z'
loop_
_atom_site_label
_atom_site_type_symbol
_atom_site_fract_x
_atom_site_fract_y
_atom_site_fract_z
Hf1 Hf 0.0000 0.0000 0.0000
Ag1 Ag 0.2500 0.2500 0.2500
Hg1 Hg 0.5000 0.5000 0.5000
Au1 Au 0.7500 0.7500 0.7500